YH2Se | GGA-PBE | relaxed

Space group: Cm
N(E_F) in states/eV/f.u.: 1.66
Crystal system: monoclinic

Lattice parameters (Å, degrees): 5.3629 4.0252 7.0083 90.00 122.12 90.00
Positions (direct):
H  0.5993  0.0000  0.5627
Se  0.1284  0.0000  0.0806
Se  0.1284  0.5000  0.5806
H  0.5348  0.0000  0.6561
H  0.5348  0.5000  0.1561
Y  0.7699  0.0000  0.2586
H  0.5993  0.5000  0.0627
Y  0.7699  0.5000  0.7586



Y3HSe | GGA-PBE | relaxed

Space group: Pm-3m
N(E_F) in states/eV/f.u.: 4.20
Crystal system: cubic

Lattice parameters (Å, degrees): 4.7280 4.7280 4.7280 90.00 90.00 90.00
Positions (direct):
Se  0.5000  0.5000  0.5000
Y  0.0000  0.5000  0.0000
Y  0.0000  0.0000  0.5000
Y  0.5000  0.0000  0.0000
H  0.0000  0.0000  0.0000



YHSe2 | GGA-PBE | relaxed

Space group: P1
N(E_F) in states/eV/f.u.: 0.00
Crystal system: triclinic

Lattice parameters (Å, degrees): 4.3671 7.8594 5.6776 66.08 89.96 90.76
Positions (direct):
Y  0.7380  0.3988  0.8131
Y  0.2426  0.7592  0.1135
Se  0.2296  0.1394  0.1369
H  0.2501  0.1546  0.3885
Se  0.7507  0.0185  0.7898
Se  0.7371  0.5015  0.2599
Se  0.2436  0.6565  0.6667
H  0.7436  0.0040  0.5374



YH2Se | GGA-PBE | relaxed

Space group: P1
Crystal system: triclinic

Lattice parameters (Å, degrees): 3.8409 4.3183 7.6696 89.70 76.10 89.78
Positions (direct):
Se  0.0613  0.3885  0.9860
H  0.3993  0.6292  0.3213
H  0.9355  0.8866  0.2448
Y  0.8782  0.3857  0.3716
H  0.3528  0.9446  0.6293
Y  0.5183  0.8876  0.0762
Se  0.7201  0.8811  0.6543
H  0.4009  0.1446  0.3198



Y2H2Se | GGA-PBE | relaxed

Space group: I4/mmm
N(E_F) in states/eV/f.u.: 2.89
Crystal system: tetragonal

Lattice parameters (Å, degrees): 3.5965 3.5965 6.6689 74.36 74.36 90.00
Positions (direct):
Y  0.6410  0.6410  0.7181
H  0.2500  0.7500  0.5000
Se  0.0000  0.0000  0.0000
Y  0.3590  0.3590  0.2819
H  0.7500  0.2500  0.5000



YZrHSe2 | GGA-PBE | relaxed

Space group: P4/mmm
N(E_F) in states/eV/f.u.: 8.19
Crystal system: tetragonal

Lattice parameters (Å, degrees): 5.2785 5.2785 5.8250 90.00 90.00 90.00
Positions (direct):
Se  0.5000  0.0000  0.0000
H  0.5000  0.5000  0.5000
Se  0.0000  0.5000  0.0000
Y  0.0000  0.0000  0.0000
Zr  0.0000  0.0000  0.5000



Ordered calculated total energy results: -4.818 -5.673 -5.357 -5.037 -5.609 -4.286; unit eV per atom.